Entry from Alexandria: crystalline FeHgP2O at its relaxed geometry (PBE with a Hubbard U).

Summary:
Space group = P4/mmm (123)
Fermi-level density of states = 2.352 states/eV/f.u.
Size of the total moment = 2.58 μB per formula unit
Electronic total energy = -3.99 eV per atom

Structure (POSCAR):
```
FeHgP2O
1.0
4.8866 0.0000 0.0000
0.0000 4.8866 0.0000
0.0000 0.0000 3.5705
Fe Hg P O
1 1 2 1
Direct
0.0000 0.0000 0.0000
0.5000 0.5000 0.5000
0.0000 0.5000 0.0000
0.5000 0.0000 0.0000
0.0000 0.0000 0.5000
```